Record 1
NaBi2As2, optimized geometry, DFT GGA-PBEsol; DFT total energy = -20.21 eV for the cell shown; total magnetization = 0.0 μB per formula unit; symmetry = I4/mmm; ΔH_f (0 K) = -0.006 eV/atom
1.0
5.4603 0.0000 0.0000
0.0000 5.4603 0.0000
-2.7302 -2.7302 5.0942
As Bi Na
2 2 1
direct
0.2500 0.7500 0.5000 As
0.7500 0.2500 0.5000 As
0.3438 0.3438 0.6877 Bi
0.6562 0.6562 0.3123 Bi
0.0000 0.0000 0.0000 Na

Record 2
Ag3SnBr, optimized geometry, DFT GGA-PBEsol; DFT total energy = -12.48 eV for the cell shown; total magnetization = 0.0 μB per formula unit; symmetry = Pm-3m; formation energy without anion corrections = 0.717 eV per atom
1.0
5.0520 0.0000 0.0000
0.0000 5.0520 0.0000
0.0000 0.0000 5.0520
Ag Br Sn
3 1 1
direct
0.0000 0.5000 0.0000 Ag
0.0000 0.0000 0.5000 Ag
0.5000 0.0000 0.0000 Ag
0.0000 0.0000 0.0000 Br
0.5000 0.5000 0.5000 Sn

Record 3
MnO, optimized geometry, DFT GGA-PBEsol; DFT total energy = -17.25 eV for the cell shown; total magnetization = 4.5 μB per formula unit; symmetry = Fm-3m; formation energy without anion corrections = -1.119 eV per atom
1.0
3.0627 0.0000 0.0000
1.5313 2.6523 0.0000
1.5313 0.8841 2.5006
Mn O
1 1
direct
0.0000 0.0000 0.0000 Mn
0.5000 0.5000 0.5000 O

Record 4
CsAgB2Se, optimized geometry, DFT GGA-PBEsol; DFT total energy = -15.91 eV for the cell shown; total magnetization = 0.0 μB per formula unit; symmetry = P4/mmm; formation energy without anion corrections = 1.245 eV per atom
1.0
4.4902 0.0000 0.0000
0.0000 4.4902 0.0000
0.0000 0.0000 5.4910
Se Cs B Ag
1 1 2 1
direct
0.0000 0.0000 0.5000 Se
0.5000 0.5000 0.5000 Cs
0.0000 0.5000 0.0000 B
0.5000 0.0000 0.0000 B
0.0000 0.0000 0.0000 Ag

Record 5
YIn2W, optimized geometry, DFT GGA-PBEsol; polymorph energy (0 for the lowest one) = 2.12 kJ per mole of atoms; DFT total energy = -25.46 eV for the cell shown; total magnetization = 0.0 μB per formula unit; symmetry = Imm2; ΔH_f (0 K) = 0.285 eV/atom
1.0
-3.7842 0.2420 0.9438
-0.3587 -4.5320 -0.2765
3.1894 1.7773 4.2429
W In Y
1 2 1
direct
0.4930 0.4930 0.9860 W
0.7533 0.2533 0.5066 In
0.0063 0.0063 0.0126 In
0.2474 0.7474 0.4947 Y

Record 6
ReINO2, optimized geometry, DFT GGA-PBEsol; DFT total energy = -34.68 eV for the cell shown; total magnetization = 0.0 μB per formula unit; symmetry = P4/mmm; formation energy without anion corrections = -0.112 eV per atom
1.0
-2.4686 1.4001 -2.5438
0.0306 -3.3262 -1.8604
-3.3290 -1.4050 2.4573
O N I Re
2 1 1 1
direct
0.5000 0.0000 0.0000 O
0.0000 0.5000 0.0000 O
0.0000 0.0000 0.5000 N
0.5000 0.5000 0.5000 I
0.0000 0.0000 0.0000 Re